# TmAgTe3 (PBE, optimized geometry)
data_TmAgTe3
_chemical_formula_sum 'Tm2 Ag2 Te6'
_cell_length_a 4.714
_cell_length_b 8.550
_cell_length_c 9.368
_cell_angle_alpha 109.43
_cell_angle_beta 90.20
_cell_angle_gamma 105.68
_symmetry_space_group_name_H-M 'P -1'
_symmetry_Int_Tables_number 2
_symmetry_space_group_name_Hall '-P 1'
loop_
_atom_site_label
_atom_site_type_symbol
_atom_site_fract_x
_atom_site_fract_y
_atom_site_fract_z
Tm1 Tm 0.154 0.309 0.328
Ag1 Ag 0.354 0.707 0.159
Te1 Te 0.168 0.337 0.020
Te2 Te 0.350 0.703 0.463
Te3 Te 0.469 0.940 0.834
# VASP energy   -3.9239 eV per atom
# Crystal system   triclinic
# Size of the total moment   0.000 μB per formula unit
# Raw formation energy   -0.57 eV per atom

# TmAgTe2 (PBE, optimized geometry)
data_TmAgTe2
_chemical_formula_sum 'Tm3 Ag3 Te6'
_cell_length_a 4.2314
_cell_length_b 4.2314
_cell_length_c 22.1448
_cell_angle_alpha 90.00
_cell_angle_beta 90.00
_cell_angle_gamma 120.00
_symmetry_space_group_name_H-M 'R 3 m'
_symmetry_Int_Tables_number 160
_symmetry_space_group_name_Hall 'R 3 -2"'
loop_
_atom_site_label
_atom_site_type_symbol
_atom_site_fract_x
_atom_site_fract_y
_atom_site_fract_z
Tm1 Tm 0.0000 0.0000 0.0000
Ag1 Ag 0.0000 0.0000 0.1641
Te1 Te 0.0000 0.0000 0.5804
Te2 Te 0.0000 0.0000 0.7510
# VASP energy   -4.1496 eV per atom
# Crystal system   trigonal
# Size of the total moment   0.000 μB per formula unit
# Raw formation energy   -0.75 eV per atom

# TmAgTe2 (PBE, optimized geometry)
data_TmAgTe2
_chemical_formula_sum 'Tm2 Ag2 Te4'
_cell_length_a 8.187
_cell_length_b 4.727
_cell_length_c 8.202
_cell_angle_alpha 90.00
_cell_angle_beta 109.35
_cell_angle_gamma 90.00
_symmetry_space_group_name_H-M 'C 1 m 1'
_symmetry_Int_Tables_number 8
_symmetry_space_group_name_Hall 'C -2y'
loop_
_atom_site_label
_atom_site_type_symbol
_atom_site_fract_x
_atom_site_fract_y
_atom_site_fract_z
Tm1 Tm 0.000 0.000 0.000
Ag1 Ag 0.063 0.500 0.692
Te1 Te 0.376 0.500 0.631
Te2 Te 0.384 0.000 0.153
# VASP energy   -4.0879 eV per atom
# Crystal system   monoclinic
# Size of the total moment   0.000 μB per formula unit
# Raw formation energy   -0.69 eV per atom

# Tm2AgTe4 (PBE, optimized geometry)
data_Tm2AgTe4
_chemical_formula_sum 'Tm4 Ag2 Te8'
_cell_length_a 7.590
_cell_length_b 6.222
_cell_length_c 8.930
_cell_angle_alpha 90.00
_cell_angle_beta 99.77
_cell_angle_gamma 90.00
_symmetry_space_group_name_H-M 'P 1 21/m 1'
_symmetry_Int_Tables_number 11
_symmetry_space_group_name_Hall '-P 2yb'
loop_
_atom_site_label
_atom_site_type_symbol
_atom_site_fract_x
_atom_site_fract_y
_atom_site_fract_z
Tm1 Tm 0.174 0.250 0.371
Tm2 Tm 0.252 0.250 0.938
Ag1 Ag 0.255 0.750 0.645
Te1 Te 0.036 0.750 0.367
Te2 Te 0.090 0.750 0.915
Te3 Te 0.450 0.506 0.222
# VASP energy   -4.3242 eV per atom
# Crystal system   monoclinic
# Size of the total moment   0.000 μB per formula unit
# Raw formation energy   -0.84 eV per atom

# Tm2AgTe (PBE, optimized geometry)
data_Tm2AgTe
_chemical_formula_sum 'Tm8 Ag4 Te4'
_cell_length_a 4.083
_cell_length_b 23.572
_cell_length_c 4.362
_cell_angle_alpha 90.00
_cell_angle_beta 90.00
_cell_angle_gamma 90.00
_symmetry_space_group_name_H-M 'C m c m'
_symmetry_Int_Tables_number 63
_symmetry_space_group_name_Hall '-C 2c 2'
loop_
_atom_site_label
_atom_site_type_symbol
_atom_site_fract_x
_atom_site_fract_y
_atom_site_fract_z
Tm1 Tm 0.000 0.064 0.250
Tm2 Tm 0.000 0.331 0.250
Ag1 Ag 0.000 0.459 0.250
Te1 Te 0.000 0.196 0.250
# VASP energy   -4.4894 eV per atom
# Crystal system   orthorhombic
# ΔE to the lowest computed polymorph   0.000 eV per atom
# Size of the total moment   0.000 μB per formula unit
# Raw formation energy   -0.76 eV per atom

# Tm5AgTe2 (PBE, optimized geometry)
data_Tm5AgTe2
_chemical_formula_sum 'Tm20 Ag4 Te8'
_cell_length_a 5.844
_cell_length_b 12.732
_cell_length_c 12.590
_cell_angle_alpha 90.00
_cell_angle_beta 90.00
_cell_angle_gamma 90.00
_symmetry_space_group_name_H-M 'C m c m'
_symmetry_Int_Tables_number 63
_symmetry_space_group_name_Hall '-C 2c 2'
loop_
_atom_site_label
_atom_site_type_symbol
_atom_site_fract_x
_atom_site_fract_y
_atom_site_fract_z
Tm1 Tm 0.000 0.049 0.114
Tm2 Tm 0.000 0.377 0.750
Tm3 Tm 0.000 0.390 0.069
Ag1 Ag 0.000 0.238 0.250
Te1 Te 0.000 0.193 0.588
# VASP energy   -4.3961 eV per atom
# Crystal system   orthorhombic
# Size of the total moment   0.000 μB per formula unit
# Raw formation energy   -0.46 eV per atom

# Tm4AgTe5 (PBE, optimized geometry)
data_Tm4AgTe5
_chemical_formula_sum 'Tm8 Ag2 Te10'
_cell_length_a 19.365
_cell_length_b 4.238
_cell_length_c 8.930
_cell_angle_alpha 90.00
_cell_angle_beta 105.71
_cell_angle_gamma 90.00
_symmetry_space_group_name_H-M 'C 1 2/m 1'
_symmetry_Int_Tables_number 12
_symmetry_space_group_name_Hall '-C 2y'
loop_
_atom_site_label
_atom_site_type_symbol
_atom_site_fract_x
_atom_site_fract_y
_atom_site_fract_z
Tm1 Tm 0.012 0.000 0.245
Tm2 Tm 0.168 0.500 0.565
Ag1 Ag 0.000 0.500 0.500
Te1 Te 0.000 0.500 0.000
Te2 Te 0.142 0.000 0.777
Te3 Te 0.172 0.000 0.318
# VASP energy   -4.6362 eV per atom
# Crystal system   monoclinic
# Size of the total moment   0.372 μB per formula unit
# Raw formation energy   -0.99 eV per atom

# Tm2AgTe3 (PBE, optimized geometry)
data_Tm2AgTe3
_chemical_formula_sum 'Tm4 Ag2 Te6'
_cell_length_a 6.051
_cell_length_b 14.371
_cell_length_c 4.351
_cell_angle_alpha 90.00
_cell_angle_beta 90.00
_cell_angle_gamma 90.00
_symmetry_space_group_name_H-M 'C m m m'
_symmetry_Int_Tables_number 65
_symmetry_space_group_name_Hall '-C 2 2'
loop_
_atom_site_label
_atom_site_type_symbol
_atom_site_fract_x
_atom_site_fract_y
_atom_site_fract_z
Tm1 Tm 0.000 0.146 0.000
Ag1 Ag 0.000 0.500 0.500
Te1 Te 0.000 0.000 0.500
Te2 Te 0.000 0.352 0.000
# VASP energy   -4.3074 eV per atom
# Crystal system   orthorhombic
# Size of the total moment   0.000 μB per formula unit
# Raw formation energy   -0.77 eV per atom

# TmAgTe2 (PBE, optimized geometry)
data_TmAgTe2
_chemical_formula_sum 'Tm2 Ag2 Te4'
_cell_length_a 7.064
_cell_length_b 7.064
_cell_length_c 4.680
_cell_angle_alpha 90.00
_cell_angle_beta 90.00
_cell_angle_gamma 90.00
_symmetry_space_group_name_H-M 'P -4 21 m'
_symmetry_Int_Tables_number 113
_symmetry_space_group_name_Hall 'P -4 2ab'
loop_
_atom_site_label
_atom_site_type_symbol
_atom_site_fract_x
_atom_site_fract_y
_atom_site_fract_z
Tm1 Tm 0.000 0.500 0.192
Ag1 Ag 0.000 0.000 0.000
Te1 Te 0.202 0.702 0.708
# VASP energy   -4.2869 eV per atom
# Crystal system   tetragonal
# Size of the total moment   0.000 μB per formula unit
# Raw formation energy   -0.89 eV per atom

# TmAgTe2 (PBE, optimized geometry)
data_TmAgTe2
_chemical_formula_sum 'Tm1 Ag1 Te2'
_cell_length_a 4.3377
_cell_length_b 4.3377
_cell_length_c 6.9932
_cell_angle_alpha 90.00
_cell_angle_beta 90.00
_cell_angle_gamma 120.00
_symmetry_space_group_name_H-M 'P -3 m 1'
_symmetry_Int_Tables_number 164
_symmetry_space_group_name_Hall '-P 3 2"'
loop_
_atom_site_label
_atom_site_type_symbol
_atom_site_fract_x
_atom_site_fract_y
_atom_site_fract_z
Tm1 Tm 0.0000 0.0000 0.0000
Ag1 Ag 0.0000 0.0000 0.5000
Te1 Te 0.3333 0.6667 0.2526
# VASP energy   -4.2716 eV per atom
# Crystal system   trigonal
# Size of the total moment   0.000 μB per formula unit
# Raw formation energy   -0.87 eV per atom